[1]
VASP calculation (PBE) on an optimized crystal structure of LaTeAu.

Unit cell a=5.6995 b=5.6995 c=5.6995 alpha=137.42 beta=137.42 gamma=61.79
Positions (direct):
La (0.0000, 0.0000, 0.0000)
Te (0.3360, 0.3360, 0.0000)
Au (0.6631, 0.6631, 0.0000)

total energy	-4.804	eV per atom
formation energy from raw total energies	-1.022	eV/atom
volume	27.93	Å³ per atom

=====

[2]
VASP calculation (PBE) on an optimized crystal structure of NbAg2AsO6.

Unit cell a=5.1932 b=5.1932 c=4.9759 alpha=90.00 beta=90.00 gamma=90.00
Positions (direct):
Nb (0.0000, 0.0000, 0.0000)
Ag (0.0000, 0.5000, 0.4931)
Ag (0.5000, 0.0000, 0.4931)
As (0.5000, 0.5000, 0.9998)
O (0.0000, 0.0000, 0.6355)
O (0.2620, 0.2620, 0.1044)
O (0.2620, 0.7380, 0.1044)
O (0.5000, 0.5000, 0.6544)
O (0.7380, 0.2620, 0.1044)
O (0.7380, 0.7380, 0.1044)

total energy	-6.226	eV per atom
formation energy from raw total energies	-1.209	eV/atom
volume	13.42	Å³ per atom

=====

[3]
VASP calculation (PBE) on an optimized crystal structure of MnTlBr2.

Unit cell a=3.6772 b=3.6522 c=9.4262 alpha=90.00 beta=91.19 gamma=90.00
Positions (direct):
Mn (0.0000, 0.0000, 0.0000)
Tl (0.0000, 0.0000, 0.5000)
Br (0.1898, 0.5000, 0.8210)
Br (0.8102, 0.5000, 0.1790)

total energy	-4.074	eV per atom
formation energy from raw total energies	-0.354	eV/atom
relative energy among the computed polymorphs	127.0	meV per atom
volume	31.64	Å³ per atom

=====

[4]
VASP calculation (PBE) on an optimized crystal structure of CoPt6Au.

Unit cell a=3.9500 b=3.9500 c=7.9252 alpha=90.00 beta=90.00 gamma=90.00
Positions (direct):
Co (0.0000, 0.0000, 0.0000)
Pt (0.0000, 0.5000, 0.2370)
Pt (0.0000, 0.5000, 0.7630)
Pt (0.5000, 0.0000, 0.2370)
Pt (0.5000, 0.0000, 0.7630)
Pt (0.5000, 0.5000, 0.0000)
Pt (0.5000, 0.5000, 0.5000)
Au (0.0000, 0.0000, 0.5000)

total energy	-5.837	eV per atom
volume	15.46	Å³ per atom
E_form	-0.009	eV/atom

=====

no.,magnetization (μB per atom)
1,0.000
2,0.000
3,1.126
4,0.411